Entry 1:
This record from Alexandria via LeMat-Bulk describes a geometry-optimized CaMnCl2 structure. The functional is PBE-GGA.

a b c (Å): 3.560 3.566 8.668
angles (deg): 90.00 101.79 90.00
Fractional positions:
1 Ca 0.000 0.000 0.000
2 Mn 0.352 0.500 0.705
3 Cl 0.258 0.000 0.517
4 Cl 0.575 0.500 0.152

Summary:
- SG: Pm (6)
- E_form (uncorrected): -0.97 eV per atom
- Raw total energy: -18.74 eV/f.u.

Entry 2:
This record from Alexandria via LeMat-Bulk describes a geometry-optimized Pm2Cu4HgGe3 structure. The functional is PBE-GGA.

a b c (Å): 4.203 4.203 10.432
angles (deg): 90.00 90.00 90.00
Fractional positions:
1 Pm 0.000 0.500 0.234
2 Pm 0.500 0.000 0.766
3 Cu 0.000 0.000 0.000
4 Cu 0.000 0.500 0.646
5 Cu 0.500 0.000 0.354
6 Cu 0.500 0.500 0.000
7 Hg 0.000 0.000 0.500
8 Ge 0.000 0.500 0.873
9 Ge 0.500 0.000 0.127
10 Ge 0.500 0.500 0.500

Summary:
- SG: P-4m2 (115)
- Energy relative to the elements: -0.426 eV per atom
- Raw total energy: -44.30 eV/f.u.

Number 1: D(E_F) 0.34 states/eV per atom. Number 2: D(E_F) 0.27 states/eV per atom.